(1)
# PmTmCl3

PmTmCl3 after structural relaxation (GGA-PBE, Alexandria via LeMat-Bulk).

Cell: 16.609 3.816 10.815 Å, 90.00 121.63 90.00°
Space group C2/m (No. 12)
Unique sites:
Pm 0.140 0.000 0.290 x4
Tm 0.079 0.500 0.956 x4
Cl 0.043 0.000 0.755 x4
Cl 0.161 0.500 0.508 x4
Cl 0.215 0.000 0.112 x4

## Properties
Electronic total energy, eV per formula unit: -23.89
Formation energy from raw total energies, meV per atom: -1826

***

(2)
# PmTm2Cl

PmTm2Cl after structural relaxation (GGA-PBE, Alexandria via LeMat-Bulk).

Cell: 3.4169 3.4169 33.3043 Å, 90.00 90.00 120.00°
Space group R-3m (No. 166, hexagonal axes)
Unique sites:
Pm 0.0000 0.0000 0.0000 x3
Tm 0.0000 0.0000 0.1007 x6
Cl 0.0000 0.0000 0.5000 x3

## Properties
Electronic total energy, eV per formula unit: -16.90
D(E_F), states/eV/cell: 19.895
Formation energy from raw total energies, meV per atom: -341

***

> Number 2 is which compound?

PmTm2Cl

***

> Which of these has the lowest formation energy from raw total energies?

PmTmCl3

***

> Look up the formation energy from raw total energies of the first one.

-1826 meV per atom

***

> Which of these has the lowest electronic total energy?

PmTmCl3